NaZrTe2O6 | PBE | optimized geometry

The structure belongs to space group C2/c (No. 15); the cell edges are 13.0760, 8.1249 and 5.8178 Å and the angles 90.00°, 102.87° and 90.00°. The inequivalent atoms are Na at (0.0000, 0.0917, 0.2500), Zr at (0.0000, 0.4011, 0.7500), Te at (0.2352, 0.1448, 0.7226), O at (0.0841, 0.1926, 0.6402), O at (0.0911, 0.4323, 0.0998) and O at (0.2095, 0.0763, 0.0914).

The value obtained for the total magnetization is 0.000 μB per atom. The raw total energy comes out at -6.27 eV/atom. Its formation energy from raw total energies is -16.8 eV/f.u.

=====

Pm12Cu6Ru | PBE | optimized geometry

The structure belongs to space group R-3 (No. 148, hexagonal axes); the cell edges are 12.4942, 12.4942 and 12.3005 Å and the angles 90.00°, 90.00° and 120.00°. The inequivalent atoms are Pm at (0.0261, 0.8250, 0.3913), Pm at (0.0416, 0.8441, 0.8759), Cu at (0.0457, 0.7724, 0.6439) and Ru at (0.0000, 0.0000, 0.0000).

The value obtained for the total magnetization is 0.000 μB per atom. The raw total energy comes out at -4.75 eV/atom. The formation energy comes out at 0.028 eV per atom.

=====

Zr2CoBi2 | PBE | optimized geometry

The structure belongs to space group P4/mbm (No. 127); the cell edges are 6.8904, 6.8904 and 4.7056 Å and the angles 90.00°, 90.00° and 90.00°. The inequivalent atoms are Zr at (0.1569, 0.3431, 0.0000), Co at (0.0000, 0.0000, 0.5000) and Bi at (0.1581, 0.6581, 0.5000).

The value obtained for the total magnetization is 0.000 μB per atom. The excess energy over the best structure of this formula in the dataset comes out at 0.000 eV per atom. The raw total energy comes out at -6.24 eV/atom. The formation energy comes out at 0.149 eV per atom.

=====

KPuSn2F8 | PBE | optimized geometry

The structure belongs to space group P-1 (No. 2); the cell edges are 4.1663, 6.0367 and 8.3287 Å and the angles 89.64°, 86.73° and 89.97°. The inequivalent atoms are K at (0.0000, 0.0000, 0.0000), Pu at (0.0000, 0.0000, 0.5000), Sn at (0.4643, 0.4974, 0.2342), F at (0.0341, 0.2527, 0.2732), F at (0.0366, 0.7569, 0.2765), F at (0.4980, 0.7169, 0.9959) and F at (0.5001, 0.2122, 0.4932).

The value obtained for the total magnetization is 0.417 μB per atom. The raw total energy comes out at -6.01 eV/atom. Its formation energy from raw total energies is -33.8 eV/f.u.

=====

Dy2TmIr3 | PBE | optimized geometry

The structure belongs to space group Immm (No. 71); the cell edges are 4.6766, 5.5921 and 9.8786 Å and the angles 90.00°, 90.00° and 90.00°. The inequivalent atoms are Dy at (0.0000, 0.0000, 0.1687), Tm at (0.0000, 0.0000, 0.5000), Ir at (0.0000, 0.5000, 0.1579) and Ir at (0.0000, 0.5000, 0.5000).

The value obtained for the total magnetization is 0.000 μB per atom. The excess energy over the best structure of this formula in the dataset comes out at 0.373 eV per atom. The raw total energy comes out at -7.18 eV/atom. The formation energy comes out at -0.475 eV per atom.

=====

AgAu2Br | PBE | optimized geometry

The structure belongs to space group P4/mmm (No. 123); the cell edges are 3.5734, 3.5734 and 6.5241 Å and the angles 90.00°, 90.00° and 90.00°. The inequivalent atoms are Ag at (0.0000, 0.0000, 0.0000), Au at (0.5000, 0.5000, 0.2123) and Br at (0.0000, 0.0000, 0.5000).

The value obtained for the total magnetization is 0.000 μB per atom. The excess energy over the best structure of this formula in the dataset comes out at 0.124 eV per atom. The raw total energy comes out at -2.61 eV/atom. Its formation energy from raw total energies is 0.6 eV/f.u.

=====

Ti2CuAg2Se6 | PBE | optimized geometry

The structure belongs to space group C2/m (No. 12); the cell edges are 6.5350, 11.2153 and 6.5317 Å and the angles 90.00°, 96.61° and 90.00°. The inequivalent atoms are Ti at (0.0000, 0.1862, 0.0000), Cu at (0.0000, 0.5000, 0.0000), Ag at (0.0000, 0.1511, 0.5000), Se at (0.1519, 0.3345, 0.7684) and Se at (0.1536, 0.0000, 0.8051).

The value obtained for the total magnetization is 0.000 μB per atom. The raw total energy comes out at -4.79 eV/atom. Its formation energy from raw total energies is -6.2 eV/f.u.

=====

K2In3Pb2 | PBE | optimized geometry

The structure belongs to space group C2/m (No. 12); the cell edges are 13.3046, 5.0184 and 7.9751 Å and the angles 90.00°, 116.73° and 90.00°. The inequivalent atoms are K at (0.1490, 0.0000, 0.2879), In at (0.0000, 0.5000, 0.5000), In at (0.0830, 0.5000, 0.9234) and Pb at (0.1590, 0.0000, 0.7779).

The value obtained for the total magnetization is 0.000 μB per atom. The raw total energy comes out at -2.67 eV/atom. The formation energy comes out at -0.125 eV per atom.

=====

> Number 8 is which compound?

K2In3Pb2

=====

> What is the raw total energy in the fourth record?

-6.01 eV/atom

=====

> Number 2 is which compound?

Pm12Cu6Ru

=====

> Among the records above, which one has the highest raw total energy?

AgAu2Br